Entry 1:
Mg2ReHg | PBE | relaxed

```
data_Mg2ReHg
_cell_length_a 3.380
_cell_length_b 3.380
_cell_length_c 6.395
_cell_angle_alpha 90.00
_cell_angle_beta 90.00
_cell_angle_gamma 90.00
_space_group_name_H-M_alt 'P 4 m m'
_space_group_IT_number 99
loop_
_space_group_symop_operation_xyz
'x,y,z'
'-y,x,z'
'-x,-y,z'
'y,-x,z'
'-x,y,z'
'y,x,z'
'x,-y,z'
'-y,-x,z'
loop_
_atom_site_label
_atom_site_fract_x
_atom_site_fract_y
_atom_site_fract_z
Mg1 0.000 0.000 0.000
Mg2 0.500 0.500 0.276
Re1 0.000 0.000 0.485
Hg1 0.500 0.500 0.748
```



Entry 2:
# Mg3ReHg PBE relaxed
# **Energy above the most stable polymorph in this dataset**: 0 meV per atom
data_Mg3ReHg
_cell_length_a 5.137
_cell_length_b 5.137
_cell_length_c 5.137
_cell_angle_alpha 90.00
_cell_angle_beta 90.00
_cell_angle_gamma 90.00
_space_group_name_H-M_alt 'P m -3 m'
_space_group_IT_number 221
_space_group_name_Hall '-P 4 2 3'
loop_
_atom_site_label
_atom_site_fract_x
_atom_site_fract_y
_atom_site_fract_z
Mg1 0.000 0.000 0.500
Re1 0.000 0.000 0.000
Hg1 0.500 0.500 0.500



Computed total magnetization, in the same sequence as the records: 0.00, 0.25 μB per atom.
Computed formation energy, in the same sequence as the records: 507.8, 930.0 meV/atom.